No. 1
Here is YPaFeNi after structural relaxation from the Alexandria database. Energies are from PBE. Values from VASP.

The structure in Quantum ESPRESSO input format:
```
&SYSTEM
  ibrav = 0, nat = 16, ntyp = 4
/
ATOMIC_SPECIES
Y 88.91 Y.upf
Pa 231.04 Pa.upf
Fe 55.84 Fe.upf
Ni 58.69 Ni.upf
ATOMIC_POSITIONS crystal
Y 0.0000 0.0000 0.0000
Y 0.0000 0.5000 0.5000
Y 0.5000 0.0000 0.5000
Y 0.5000 0.5000 0.0000
Pa 0.0000 0.0000 0.5000
Pa 0.0000 0.5000 0.0000
Pa 0.5000 0.0000 0.0000
Pa 0.5000 0.5000 0.5000
Fe 0.2500 0.2500 0.2500
Fe 0.2500 0.7500 0.7500
Fe 0.7500 0.2500 0.7500
Fe 0.7500 0.7500 0.2500
Ni 0.2500 0.2500 0.7500
Ni 0.2500 0.7500 0.2500
Ni 0.7500 0.2500 0.2500
Ni 0.7500 0.7500 0.7500
CELL_PARAMETERS angstrom
6.7022 0.0000 0.0000
0.0000 6.7022 0.0000
0.0000 0.0000 6.7022
```

Properties
- Space group: F-43m (216)


No. 2
Here is Tb12Pr5Nd2 after structural relaxation from the Alexandria database. Energies are from PBE. Values from VASP.

The structure in Quantum ESPRESSO input format:
```
&SYSTEM
  ibrav = 0, nat = 19, ntyp = 3
/
ATOMIC_SPECIES
Tb 158.93 Tb.upf
Pr 140.91 Pr.upf
Nd 144.24 Nd.upf
ATOMIC_POSITIONS crystal
Tb 0.0029 0.0029 0.1729
Tb 0.0837 0.5897 0.9799
Tb 0.0943 0.5890 0.6323
Tb 0.4103 0.9163 0.0201
Tb 0.4110 0.9057 0.3677
Tb 0.4745 0.4745 0.2554
Tb 0.5255 0.5255 0.7446
Tb 0.5890 0.0943 0.6323
Tb 0.5897 0.0837 0.9799
Tb 0.9057 0.4110 0.3677
Tb 0.9163 0.4103 0.0201
Tb 0.9971 0.9971 0.8271
Pr 0.1801 0.1801 0.7132
Pr 0.3115 0.3115 0.3163
Pr 0.5000 0.5000 0.0000
Pr 0.6885 0.6885 0.6837
Pr 0.8199 0.8199 0.2868
Nd 0.2210 0.7790 0.5000
Nd 0.7790 0.2210 0.5000
CELL_PARAMETERS angstrom
9.2700 -3.5722 0.0000
9.2700 3.5722 0.0000
-3.7893 0.0000 9.7678
```

Properties
- Space group: C2/m (12)


| no. | electronic total energy (eV for the cell shown) | total magnetization (μB per cell) |
| --- | --- | --- |
| 1 | -121.5 | 1.84 |
| 2 | -85.8 | 0.00 |